First-principles (GGA-PBE) data for a relaxed TbSm2Cd5 crystal, as listed in Alexandria.

Cell: 5.162 5.162 15.315 Å, 90.00 90.00 90.00°
Space group I4/mmm (No. 139)
Asymmetric unit:
Tb 0.000 0.000 0.000 [2 per cell]
Sm 0.000 0.000 0.262 [4 per cell]
Cd 0.000 0.000 0.500 [2 per cell]
Cd 0.000 0.500 0.116 [8 per cell]

Computed properties:
Energy   -2.638 eV/atom
Size of the total moment   0.2 μB per formula unit